# 1
Ba2FeBr: optimized geometry, PBE.

a = 8.3715 Å, b = 8.3715 Å, c = 9.5838 Å
α = 90.00°, β = 90.00°, γ = 90.00°
Atoms (fractional coordinates):
Ba 0.2321 0.2500 0.1250
Ba 0.2500 0.7321 0.3750
Ba 0.2500 0.7679 0.8750
Ba 0.2679 0.2500 0.6250
Ba 0.7321 0.7500 0.6250
Ba 0.7500 0.2321 0.8750
Ba 0.7500 0.2679 0.3750
Ba 0.7679 0.7500 0.1250
Fe 0.0000 0.0000 0.0000
Fe 0.0000 0.5000 0.2500
Fe 0.5000 0.0000 0.7500
Fe 0.5000 0.5000 0.5000
Br 0.0000 0.0000 0.5000
Br 0.0000 0.5000 0.7500
Br 0.5000 0.0000 0.2500
Br 0.5000 0.5000 0.0000

Output
Density of states at the Fermi level   0.7688 states/eV/atom
Mass density   4.059 Mg/m³
Space group   I-42d (122)
Total moment   8.7 Bohr magnetons per cell
Energy relative to the elements, uncorrected   -0.13 eV per atom
Calculated total energy   -3.62 eV/atom
Offset from the most stable computed form   185.8 meV/atom

# 2
LaHg2C: optimized geometry, PBE.

a = 8.4981 Å, b = 8.4981 Å, c = 5.1170 Å
α = 90.00°, β = 90.00°, γ = 90.00°
Atoms (fractional coordinates):
La 0.0000 0.0000 0.0000
La 0.0000 0.5000 0.2500
La 0.5000 0.0000 0.7500
La 0.5000 0.5000 0.5000
Hg 0.1700 0.7500 0.6250
Hg 0.2500 0.1700 0.3750
Hg 0.2500 0.3300 0.8750
Hg 0.3300 0.7500 0.1250
Hg 0.6700 0.2500 0.1250
Hg 0.7500 0.6700 0.8750
Hg 0.7500 0.8300 0.3750
Hg 0.8300 0.2500 0.6250
C 0.0000 0.0000 0.5000
C 0.0000 0.5000 0.7500
C 0.5000 0.0000 0.2500
C 0.5000 0.5000 0.0000

Output
Formation enthalpy at 0 K   47.7 kJ per mole of atoms
Density of states at the Fermi level   0.7710 states/eV/atom
Mass density   9.924 Mg/m³
Space group   I-42d (122)
Total moment   0.0 Bohr magnetons per cell
Calculated total energy   -3.19 eV/atom

# 3
La3PmF: optimized geometry, PBE.

a = 5.2861 Å, b = 5.2861 Å, c = 5.2861 Å
α = 90.00°, β = 90.00°, γ = 90.00°
Atoms (fractional coordinates):
La 0.0000 0.0000 0.5000
La 0.0000 0.5000 0.0000
La 0.5000 0.0000 0.0000
Pm 0.5000 0.5000 0.5000
F 0.0000 0.0000 0.0000

Output
Density of states at the Fermi level   1.1890 states/eV/atom
Mass density   6.528 Mg/m³
Space group   Pm-3m (221)
Total moment   0.0 Bohr magnetons per cell
Energy relative to the elements, uncorrected   -1.02 eV per atom
Calculated total energy   -5.30 eV/atom

# 4
TlZnSe3: optimized geometry, PBE.

a = 5.0620 Å, b = 5.0620 Å, c = 5.0620 Å
α = 90.00°, β = 90.00°, γ = 90.00°
Atoms (fractional coordinates):
Tl 0.0000 0.0000 0.0000
Zn 0.5000 0.5000 0.5000
Se 0.0000 0.5000 0.5000
Se 0.5000 0.0000 0.5000
Se 0.5000 0.5000 0.0000

Output
Density of states at the Fermi level   1.1346 states/eV/atom
Mass density   6.486 Mg/m³
Space group   Pm-3m (221)
Total moment   0.0 Bohr magnetons per cell
Energy relative to the elements, uncorrected   0.10 eV per atom
Calculated total energy   -2.72 eV/atom
Offset from the most stable computed form   0.0 meV/atom

# 5
LiCr2Ru: optimized geometry, PBE.

a = 2.8556 Å, b = 4.3039 Å, c = 8.5112 Å
α = 90.00°, β = 90.00°, γ = 90.00°
Atoms (fractional coordinates):
Li 0.0000 0.0000 0.0000
Li 0.5000 0.5000 0.0000
Cr 0.0000 0.0000 0.4890
Cr 0.0000 0.5000 0.2778
Cr 0.5000 0.0000 0.2778
Cr 0.5000 0.5000 0.4890
Ru 0.0000 0.5000 0.7348
Ru 0.5000 0.0000 0.7348

Output
Formation enthalpy at 0 K   24.4 kJ per mole of atoms
Density of states at the Fermi level   1.0558 states/eV/atom
Mass density   6.731 Mg/m³
Space group   Cmm2 (35)
Total moment   0.0 Bohr magnetons per cell
Calculated total energy   -7.36 eV/atom

# 6
NiBi: optimized geometry, PBE.

a = 4.5611 Å, b = 4.5611 Å, c = 5.3320 Å
α = 90.00°, β = 90.00°, γ = 120.00°
Atoms (fractional coordinates):
Ni 0.3333 0.6667 0.2500
Ni 0.6667 0.3333 0.7500
Bi 0.3333 0.6667 0.7500
Bi 0.6667 0.3333 0.2500

Output
Formation enthalpy at 0 K   26.2 kJ per mole of atoms
Density of states at the Fermi level   0.6353 states/eV/atom
Mass density   9.254 Mg/m³
Space group   P6_3/mmc (194)
Total moment   0.0 Bohr magnetons per cell
Calculated total energy   -4.56 eV/atom